# PBE Na3HoPu2Te6, relaxed
# Total magnetic moment, μB per cell: 10.0
# SG: C2/m, No. 12
# Uncorrected formation energy, eV/atom: -1.12
data_Na3HoPu2Te6
_cell_length_a 7.738
_cell_length_b 7.738
_cell_length_c 7.943
_cell_angle_alpha 99.35
_cell_angle_beta 99.35
_cell_angle_gamma 120.00
_space_group_name_H-M_alt 'P 1'
_space_group_IT_number 1
loop_
_space_group_symop_operation_xyz
'x,y,z'
loop_
_atom_site_label
_atom_site_fract_x
_atom_site_fract_y
_atom_site_fract_z
Na1 0.000 0.000 0.000
Na2 0.332 0.668 0.000
Na3 0.668 0.332 0.000
Ho1 0.500 0.500 0.500
Pu1 0.167 0.833 0.500
Pu2 0.833 0.167 0.500
Te1 0.093 0.422 0.267
Te2 0.248 0.248 0.733
Te3 0.422 0.093 0.267
Te4 0.578 0.907 0.733
Te5 0.752 0.752 0.267
Te6 0.907 0.578 0.733